[1]
DFT (GGA-PBE) results for a relaxed structure of AlCdSi.

```
AlCdSi
1.0
3.095 0.000 0.000
0.000 3.095 0.000
0.000 0.000 11.331
Al Cd Si
2 2 2
Direct
0.250 0.250 0.206
0.750 0.750 0.794
0.250 0.250 0.603
0.750 0.750 0.397
0.250 0.250 0.936
0.750 0.750 0.064
```

Computed properties:
As for the formation energy without anion corrections: 0.185 eV per atom.

---

[2]
DFT (GGA-PBE) results for a relaxed structure of RbMgHg4.

```
RbMgHg4
1.0
4.662 0.000 0.000
0.000 4.662 0.000
0.000 0.000 9.480
Rb Mg Hg
1 1 4
Direct
0.000 0.000 0.000
0.500 0.500 0.500
0.000 0.500 0.312
0.000 0.500 0.688
0.500 0.000 0.312
0.500 0.000 0.688
```

Computed properties:
The calculation puts the energy of formation at -0.116 eV per atom. The value obtained for the distance to the lowest polymorph of the same formula is 0 meV per atom.

---

[3]
DFT (GGA-PBE) results for a relaxed structure of Ta2TcW.

```
Ta2TcW
1.0
-3.612 3.612 2.759
3.612 -3.612 2.759
3.612 3.612 -2.759
Ta Tc W
4 2 2
Direct
0.112 0.125 0.487
0.375 0.888 0.013
0.638 0.625 0.513
0.875 0.362 0.987
0.000 0.000 0.000
0.750 0.250 0.500
0.250 0.750 0.500
0.500 0.500 0.000
```

Computed properties:
The calculation puts the energy of formation at 0.673 eV per atom. The value obtained for the distance to the lowest polymorph of the same formula is 976 meV per atom.

---

[4]
DFT (GGA-PBE) results for a relaxed structure of ZrTl3Br.

```
ZrTl3Br
1.0
5.827 0.000 0.000
0.000 5.827 0.000
0.000 0.000 5.827
Zr Tl Br
1 3 1
Direct
0.000 0.000 0.000
0.000 0.000 0.500
0.000 0.500 0.000
0.500 0.000 0.000
0.500 0.500 0.500
```

Computed properties:
The value obtained for the distance to the lowest polymorph of the same formula is 0 meV per atom. As for the formation energy without anion corrections: 0.353 eV per atom.

---

[5]
DFT (GGA-PBE) results for a relaxed structure of Ca2GaAsPd6.

```
Ca2GaAsPd6
1.0
0.000 4.725 4.725
4.725 0.000 4.725
4.725 4.725 0.000
Ca Ga As Pd
2 1 1 6
Direct
0.250 0.250 0.250
0.750 0.750 0.750
0.000 0.000 0.000
0.500 0.500 0.500
0.251 0.251 0.749
0.251 0.749 0.251
0.251 0.749 0.749
0.749 0.251 0.251
0.749 0.251 0.749
0.749 0.749 0.251
```

Computed properties:
The calculation puts the energy of formation at -0.424 eV per atom.

---

[6]
DFT (GGA-PBE) results for a relaxed structure of Cs2NaCrI6.

```
Cs2NaCrI6
1.0
0.000 5.960 5.960
5.960 0.000 5.960
5.960 5.960 0.000
Cs Na Cr I
2 1 1 6
Direct
0.250 0.250 0.250
0.750 0.750 0.750
0.000 0.000 0.000
0.500 0.500 0.500
0.268 0.268 0.732
0.268 0.732 0.268
0.268 0.732 0.732
0.732 0.268 0.268
0.732 0.268 0.732
0.732 0.732 0.268
```

Computed properties:
The value obtained for the distance to the lowest polymorph of the same formula is 29 meV per atom. As for the formation energy without anion corrections: -1.010 eV per atom.

---

[7]
DFT (GGA-PBE) results for a relaxed structure of BaLa2W.

```
BaLa2W
1.0
3.690 0.000 0.000
0.000 4.875 0.000
-1.525 0.000 8.177
Ba La W
1 2 1
Direct
0.000 0.000 0.000
0.428 0.000 0.621
0.677 0.500 0.369
0.092 0.500 0.663
```

Computed properties:
The calculation puts the energy of formation at 0.709 eV per atom. The value obtained for the distance to the lowest polymorph of the same formula is 224 meV per atom.

---

[8]
DFT (GGA-PBE) results for a relaxed structure of Sm4ErPu3S8.

```
Sm4ErPu3S8
1.0
3.961 2.287 6.510
-3.961 2.287 6.510
0.000 -4.573 6.510
Sm Er Pu S
4 1 3 8
Direct
0.000 0.000 0.000
0.000 0.500 0.500
0.500 0.000 0.500
0.500 0.500 0.000
0.500 0.500 0.500
0.000 0.000 0.500
0.000 0.500 0.000
0.500 0.000 0.000
0.248 0.248 0.248
0.251 0.746 0.746
0.254 0.254 0.749
0.254 0.749 0.254
0.746 0.251 0.746
0.746 0.746 0.251
0.749 0.254 0.254
0.752 0.752 0.752
```

Computed properties:
As for the formation energy without anion corrections: -1.941 eV per atom.